1.
Pm3Dy5Bi8 | PBE-GGA | optimized geometry

```
Pm3Dy5Bi8
1.0
4.518 2.608 7.368
-4.518 2.608 7.368
0.000 -5.217 7.368
Pm Dy Bi
3 5 8
Direct
0.000 0.500 0.500
0.500 0.000 0.500
0.500 0.500 0.000
0.000 0.000 0.000
0.000 0.000 0.500
0.000 0.500 0.000
0.500 0.000 0.000
0.500 0.500 0.500
0.245 0.750 0.750
0.248 0.248 0.248
0.250 0.250 0.755
0.250 0.755 0.250
0.750 0.245 0.750
0.750 0.750 0.245
0.752 0.752 0.752
0.755 0.250 0.250
```

Computed properties:
**Space-group type**: R-3m, No. 166
**Uncorrected energy**: -82.50 eV/f.u.
**Volume**: 32.56 Å³/atom

***

2.
Pm4DyBi | PBE-GGA | optimized geometry

```
Pm4DyBi
1.0
7.532 0.000 0.000
0.000 7.532 0.000
-0.018 0.000 7.856
Pm Dy Bi
8 2 2
Direct
0.250 0.250 0.246
0.250 0.250 0.754
0.250 0.750 0.246
0.250 0.750 0.754
0.750 0.250 0.246
0.750 0.250 0.754
0.750 0.750 0.246
0.750 0.750 0.754
0.000 0.000 0.000
0.500 0.500 0.000
0.000 0.500 0.500
0.500 0.000 0.500
```

Computed properties:
**Space-group type**: C2/m, No. 12
**Uncorrected energy**: -26.58 eV/f.u.
**Volume**: 37.14 Å³/atom

***

3.
PmPr2DyBi5 | PBE-GGA | optimized geometry

```
PmPr2DyBi5
1.0
5.431 0.000 0.000
0.000 5.431 0.000
0.000 0.000 12.096
Pm Pr Dy Bi
1 2 1 5
Direct
0.000 0.000 0.000
0.500 0.500 0.273
0.500 0.500 0.727
0.000 0.000 0.500
0.000 0.000 0.249
0.000 0.000 0.751
0.000 0.500 0.500
0.500 0.000 0.500
0.500 0.500 0.000
```

Computed properties:
**Space-group type**: P4/mmm, No. 123
**Uncorrected energy**: -39.87 eV/f.u.
**Volume**: 39.64 Å³/atom

***

In order of appearance, total magnetic moment = 0.0, 0.0, 0.0 Bohr magnetons per cell.